LaTlRu2Se | PBE | relaxed

The structure in CIF format:
```
data_LaTlRu2Se
_chemical_formula_sum 'La1 Tl1 Ru2 Se1'
_cell_length_a 4.853
_cell_length_b 4.853
_cell_length_c 6.216
_cell_angle_alpha 90.00
_cell_angle_beta 90.00
_cell_angle_gamma 90.00
_space_group_name_H-M_alt 'P 4/m m m'
_space_group_IT_number 123
_space_group_name_Hall '-P 4 2'
loop_
_atom_site_label
_atom_site_type_symbol
_atom_site_fract_x
_atom_site_fract_y
_atom_site_fract_z
_atom_site_occupancy
La1 La 0.000 0.000 0.000 1
Tl1 Tl 0.000 0.000 0.500 1
Ru1 Ru 0.000 0.500 0.000 1
Se1 Se 0.500 0.500 0.500 1
```

Values from the calculation:
ρ   7.1 g cm⁻³
ΔE_f (raw)   1.313 eV per atom
Magnetization   2.3 μB per formula unit